# 1
This record from Alexandria via LeMat-Bulk describes a relaxed structure of Cr2Pb. The functional is GGA-PBE.

Calculated formation energy in eV per atom: 0.95
Total moment in μB per formula unit: 7.954
E in eV per atom: -6.70
N(E_F) in states/eV per cell: 1.37
Energy above the lowest structure with this stoichiometry in meV/atom: 521.8
SG: No. 225

a = 4.629 Å, b = 4.629 Å, c = 4.629 Å
α = 60.00°, β = 60.00°, γ = 60.00°
Last column: magnetic moment on the atom in μB.
Element x y z (fractional)
1 Cr 0.750 0.750 0.750  3.68
2 Cr 0.250 0.250 0.250  3.68
3 Pb 0.000 0.000 0.000  -0.21

# 2
This record from Alexandria via LeMat-Bulk describes a relaxed structure of AuC2. The functional is GGA-PBE.

Calculated formation energy in eV per atom: 1.66
Total moment in μB per formula unit: 0.000
E in eV per atom: -5.58
N(E_F) in states/eV per cell: 1.74
Energy above the lowest structure with this stoichiometry in meV/atom: 1397.8
SG: No. 162

a = 5.701 Å, b = 5.701 Å, c = 4.544 Å
α = 90.00°, β = 90.00°, γ = 120.00°
Element x y z (fractional)
1 Au 0.000 0.000 0.000
2 Au 0.333 0.667 0.500
3 Au 0.667 0.333 0.500
4 C 0.220 0.220 0.593
5 C 0.780 0.000 0.593
6 C 0.000 0.780 0.593
7 C 0.000 0.220 0.407
8 C 0.220 0.000 0.407
9 C 0.780 0.780 0.407

# 3
This record from Alexandria via LeMat-Bulk describes a relaxed structure of EuHoAgPd. The functional is GGA-PBE.

Calculated formation energy in eV per atom: -0.49
Total moment in μB per formula unit: 7.084
E in eV per atom: -6.22
N(E_F) in states/eV per cell: 8.09
SG: No. 216

a = 5.125 Å, b = 5.125 Å, c = 5.125 Å
α = 60.00°, β = 60.00°, γ = 60.00°
Last column: magnetic moment on the atom in μB.
Element x y z (fractional)
1 Eu 0.000 0.000 0.000  6.79
2 Pd 0.750 0.750 0.750  -0.01
3 Ho 0.500 0.500 0.500  0.06
4 Ag 0.250 0.250 0.250  0.01

# 4
This record from Alexandria via LeMat-Bulk describes a relaxed structure of Be2Cd. The functional is GGA-PBE.

Calculated formation energy in eV per atom: 0.55
Total moment in μB per formula unit: 0.000
E in eV per atom: -2.24
N(E_F) in states/eV per cell: 0.70
Energy above the lowest structure with this stoichiometry in meV/atom: 324.6
SG: No. 164

a = 2.774 Å, b = 2.774 Å, c = 6.115 Å
α = 90.00°, β = 90.00°, γ = 120.00°
Element x y z (fractional)
1 Be 0.667 0.333 0.629
2 Be 0.333 0.667 0.371
3 Cd 0.000 0.000 0.000

# 5
This record from Alexandria via LeMat-Bulk describes a relaxed structure of CeAg5Br12. The functional is GGA-PBE.

Uncorrected formation energy in eV/atom: -0.590
Total moment in μB per formula unit: 1.206
E in eV per atom: -2.83
N(E_F) in states/eV per cell: 17.98
SG: No. 12

a = 6.791 Å, b = 7.130 Å, c = 13.610 Å
α = 91.51°, β = 93.18°, γ = 61.56°
Last column: magnetic moment on the atom in μB.
Element x y z (fractional)
1 Ce 0.000 0.000 0.000  0.00
2 Ag 0.500 0.000 0.500  0.11
3 Ag 0.167 0.666 0.500  0.11
4 Ag 0.833 0.334 0.500  0.11
5 Ag 0.655 0.689 0.000  0.00
6 Ag 0.345 0.311 0.000  0.00
7 Br 0.794 0.000 0.387  0.11
8 Br 0.206 0.000 0.613  0.11
9 Br 0.666 0.000 0.869  0.00
10 Br 0.334 0.000 0.131  0.00
11 Br 0.319 0.678 0.881  0.00
12 Br 0.003 0.678 0.119  0.00
13 Br 0.997 0.322 0.881  0.00
14 Br 0.681 0.322 0.119  0.00
15 Br 0.539 0.333 0.613  0.11
16 Br 0.872 0.667 0.613  0.11
17 Br 0.128 0.333 0.387  0.11
18 Br 0.461 0.667 0.387  0.11

# 6
This record from Alexandria via LeMat-Bulk describes a relaxed structure of NaPb2F5. The functional is GGA-PBE.

Uncorrected formation energy in eV/atom: -2.440
Total moment in μB per formula unit: 0.000
E in eV per atom: -4.70
N(E_F) in states/eV per cell: 0.00
SG: No. 15

a = 5.977 Å, b = 7.414 Å, c = 7.614 Å
α = 65.91°, β = 66.89°, γ = 66.23°
Element x y z (fractional)
1 Na 0.951 0.784 0.315
2 Na 0.951 0.284 0.815
3 Pb 0.599 0.479 0.319
4 Pb 0.303 0.088 0.310
5 Pb 0.603 0.979 0.819
6 Pb 0.299 0.588 0.810
7 F 0.655 0.331 0.666
8 F 0.015 0.520 0.195
9 F 0.247 0.236 0.963
10 F 0.348 0.831 0.166
11 F 0.270 0.020 0.695
12 F 0.554 0.736 0.463
13 F 0.632 0.547 0.934
14 F 0.887 0.047 0.434
15 F 0.733 0.034 0.065
16 F 0.169 0.534 0.565

# 7
This record from Alexandria via LeMat-Bulk describes a relaxed structure of La4NdIn. The functional is GGA-PBE.

Calculated formation energy in eV per atom: -0.17
Total moment in μB per formula unit: 0.000
E in eV per atom: -4.70
N(E_F) in states/eV per cell: 16.08
Energy above the lowest structure with this stoichiometry in meV/atom: 2.1
SG: No. 11

a = 6.295 Å, b = 7.115 Å, c = 8.911 Å
α = 90.00°, β = 88.91°, γ = 90.00°
Element x y z (fractional)
1 La 0.339 0.008 0.660
2 La 0.661 0.992 0.340
3 La 0.661 0.508 0.340
4 La 0.339 0.492 0.660
5 La 0.000 0.500 0.000
6 La 0.000 0.000 0.000
7 La 0.520 0.250 0.982
8 La 0.480 0.750 0.018
9 Nd 0.841 0.750 0.669
10 Nd 0.159 0.250 0.331
11 In 0.841 0.250 0.655
12 In 0.159 0.750 0.345

# 8
This record from Alexandria via LeMat-Bulk describes a relaxed structure of SnSbPd6. The functional is GGA-PBE.

Uncorrected formation energy in eV/atom: -0.445
Total moment in μB per formula unit: 0.000
E in eV per atom: -5.36
N(E_F) in states/eV per cell: 2.16
Energy above the lowest structure with this stoichiometry in meV/atom: 0.0
SG: No. 65

a = 4.028 Å, b = 5.735 Å, c = 5.735 Å
α = 89.99°, β = 90.00°, γ = 90.00°
Element x y z (fractional)
1 Sn 0.500 0.000 0.000
2 Sb 0.500 0.500 0.500
3 Pd 0.500 0.000 0.500
4 Pd 0.500 0.500 0.000
5 Pd 0.000 0.248 0.248
6 Pd 0.000 0.752 0.752
7 Pd 0.000 0.750 0.250
8 Pd 0.000 0.250 0.750